DFT (PBE) results for a geometry-optimized YHoSnIr structure.

```
16
Lattice="7.183 0.000 0.000 0.000 7.183 0.000 0.000 0.000 7.183" Properties=species:S:1:pos:R:3 pbc="T T T"
Y 0.000 0.000 0.000
Y 0.000 3.592 3.592
Y 3.592 0.000 3.592
Y 3.592 3.592 0.000
Ho 0.000 0.000 3.592
Ho 0.000 3.592 0.000
Ho 3.592 0.000 0.000
Ho 3.592 3.592 3.592
Sn 1.796 1.796 5.388
Sn 1.796 5.388 1.796
Sn 5.388 1.796 1.796
Sn 5.388 5.388 5.388
Ir 1.796 1.796 1.796
Ir 1.796 5.388 5.388
Ir 5.388 1.796 5.388
Ir 5.388 5.388 1.796
```

Output
DFT formation energy in eV per atom: -0.616
Total DFT energy (no corrections) in eV per atom: -6.592
DOS at the Fermi energy in states/eV/f.u.: 2.9
Crystal system: cubic